# 1
The following is a DFT calculation (GGA-PBE) of a relaxed structure of TiRuAu2.

The total magnetic moment is 0.0 μB/cell. The value obtained for the formation enthalpy at 0 K is 0.0374 eV per atom.

It has space group Fm-3m (No. 225), with a = 6.423 Å, b = 6.423 Å, c = 6.423 Å, α = 90.00°, β = 90.00° and γ = 90.00°. Symmetry generates all atoms from Ti at (0.000, 0.000, 0.000), Ru at (0.000, 0.000, 0.500) and Au at (0.250, 0.250, 0.250).

---

# 2
The following is a DFT calculation (GGA-PBE) of a relaxed structure of K3OsBr2Cl6.

The total magnetic moment is 6.3 μB/cell. Its formation energy (no corrections) is -1.09 eV per atom.

It has space group C2/m (No. 12), with a = 16.258 Å, b = 8.724 Å, c = 5.684 Å, α = 90.00°, β = 91.72° and γ = 90.00°. Symmetry generates all atoms from K at (0.000, 0.000, 0.000), K at (0.250, 0.250, 0.500), Os at (0.000, 0.500, 0.500), Br at (0.194, 0.000, 0.095), Cl at (0.064, 0.310, 0.727) and Cl at (0.112, 0.500, 0.259).

---

Number 1: DFT total energy -94.30 eV/cell. Number 2: DFT total energy -84.09 eV/cell.